Entry 1:
# Re2BiTePt PBE relaxed
data_Re2BiTePt
_space_group_name_H-M_alt 'P 1'
_space_group_IT_number 1
_cell_length_a 5.0886
_cell_length_b 5.7874
_cell_length_c 5.0886
_cell_angle_alpha 90.00
_cell_angle_beta 90.00
_cell_angle_gamma 90.00
loop_
_space_group_symop_operation_xyz
'x,y,z'
loop_
_atom_site_label
_atom_site_type_symbol
_atom_site_fract_x
_atom_site_fract_y
_atom_site_fract_z
Bi1 Bi 0.0000 0.0000 0.0000
Pt1 Pt 0.5000 0.5000 0.5000
Te1 Te 0.0000 0.5000 0.0000
Re1 Re 0.0000 0.0000 0.5000
Re2 Re 0.5000 0.0000 0.0000
# size of the total moment	5.47	μB/f.u.
# VASP energy	-23.47	eV/cell
# E_form (uncorrected)	2.90	eV per atom

Entry 2:
# ZnRe2BiPt PBE relaxed
data_ZnRe2BiPt
_space_group_name_H-M_alt 'P 1'
_space_group_IT_number 1
_cell_length_a 4.8386
_cell_length_b 5.4733
_cell_length_c 4.8386
_cell_angle_alpha 90.00
_cell_angle_beta 90.00
_cell_angle_gamma 90.00
loop_
_space_group_symop_operation_xyz
'x,y,z'
loop_
_atom_site_label
_atom_site_type_symbol
_atom_site_fract_x
_atom_site_fract_y
_atom_site_fract_z
Re1 Re 0.0000 0.0000 0.5000
Re2 Re 0.5000 0.0000 0.0000
Pt1 Pt 0.0000 0.0000 0.0000
Zn1 Zn 0.5000 0.5000 0.5000
Bi1 Bi 0.0000 0.5000 0.0000
# size of the total moment	3.05	μB/f.u.
# VASP energy	-26.22	eV/cell

Entry 3:
# BiPtRh2 PBE relaxed
data_BiPtRh2
_space_group_name_H-M_alt 'P 1'
_space_group_IT_number 1
_cell_length_a 3.9516
_cell_length_b 4.1365
_cell_length_c 4.1365
_cell_angle_alpha 90.00
_cell_angle_beta 90.00
_cell_angle_gamma 90.00
loop_
_space_group_symop_operation_xyz
'x,y,z'
loop_
_atom_site_label
_atom_site_type_symbol
_atom_site_fract_x
_atom_site_fract_y
_atom_site_fract_z
Bi1 Bi 0.5000 0.5000 0.5000
Rh1 Rh 0.0000 0.0000 0.5000
Rh2 Rh 0.0000 0.5000 0.0000
Pt1 Pt 0.5000 0.0000 0.0000
# size of the total moment	0.00	μB/f.u.
# VASP energy	-24.85	eV/cell

Entry 4:
# BiPt3Rh PBE relaxed
data_BiPt3Rh
_space_group_name_H-M_alt 'P 1'
_space_group_IT_number 1
_cell_length_a 4.8500
_cell_length_b 4.8500
_cell_length_c 4.8500
_cell_angle_alpha 90.00
_cell_angle_beta 90.00
_cell_angle_gamma 90.00
loop_
_space_group_symop_operation_xyz
'x,y,z'
loop_
_atom_site_label
_atom_site_type_symbol
_atom_site_fract_x
_atom_site_fract_y
_atom_site_fract_z
Pt1 Pt 0.0000 0.0000 0.5000
Rh1 Rh 0.0000 0.0000 0.0000
Pt2 Pt 0.0000 0.5000 0.0000
Pt3 Pt 0.5000 0.0000 0.0000
Bi1 Bi 0.5000 0.5000 0.5000
# size of the total moment	2.13	μB/f.u.
# VASP energy	-24.63	eV/cell

Entry 5:
# BiPtRh2 PBE relaxed
data_BiPtRh2
_space_group_name_H-M_alt 'P 1'
_space_group_IT_number 1
_cell_length_a 4.0094
_cell_length_b 4.0094
_cell_length_c 9.8572
_cell_angle_alpha 78.27
_cell_angle_beta 78.27
_cell_angle_gamma 90.00
loop_
_space_group_symop_operation_xyz
'x,y,z'
loop_
_atom_site_label
_atom_site_type_symbol
_atom_site_fract_x
_atom_site_fract_y
_atom_site_fract_z
Rh1 Rh 0.8750 0.8312 0.7500
Pt1 Pt 0.2500 0.7500 0.5000
Rh2 Rh 0.5812 0.1250 0.2500
Rh3 Rh 0.3750 0.4188 0.7500
Pt2 Pt 0.5000 0.5000 0.0000
Bi1 Bi 0.0000 0.0000 0.0000
Rh4 Rh 0.1688 0.6250 0.2500
Bi2 Bi 0.7500 0.2500 0.5000
# size of the total moment	0.00	μB/f.u.
# VASP energy	-47.42	eV/cell

Entry 6:
# Bi3PtRh PBE relaxed
data_Bi3PtRh
_space_group_name_H-M_alt 'P 1'
_space_group_IT_number 1
_cell_length_a 3.6384
_cell_length_b 9.6313
_cell_length_c 7.6516
_cell_angle_alpha 72.76
_cell_angle_beta 89.16
_cell_angle_gamma 89.35
loop_
_space_group_symop_operation_xyz
'x,y,z'
loop_
_atom_site_label
_atom_site_type_symbol
_atom_site_fract_x
_atom_site_fract_y
_atom_site_fract_z
Bi1 Bi 0.4910 0.3245 0.8057
Pt1 Pt 0.9846 0.2663 0.1070
Bi2 Bi 0.4725 0.2903 0.3795
Rh1 Rh 0.4931 0.7668 0.0979
Bi3 Bi 0.4984 0.9214 0.7075
Bi4 Bi 0.9867 0.9830 0.0749
Pt2 Pt 0.4997 0.6382 0.6750
Bi5 Bi 0.0117 0.6139 0.4026
Rh2 Rh 0.9923 0.1375 0.6846
Bi6 Bi 0.9935 0.5800 0.9763
# polymorph energy (0 for the lowest one)	0	meV per atom
# size of the total moment	0.00	μB/f.u.
# VASP energy	-50.94	eV/cell

Entry 7:
# BiPt2Rh2 PBE relaxed
data_BiPt2Rh2
_space_group_name_H-M_alt 'P 1'
_space_group_IT_number 1
_cell_length_a 7.0476
_cell_length_b 7.0476
_cell_length_c 3.5729
_cell_angle_alpha 90.00
_cell_angle_beta 90.00
_cell_angle_gamma 90.00
loop_
_space_group_symop_operation_xyz
'x,y,z'
loop_
_atom_site_label
_atom_site_type_symbol
_atom_site_fract_x
_atom_site_fract_y
_atom_site_fract_z
Pt1 Pt 0.3440 0.1560 0.5000
Rh1 Rh 0.6336 0.1336 0.0000
Pt2 Pt 0.6560 0.8440 0.5000
Rh2 Rh 0.1336 0.3664 0.0000
Bi1 Bi 0.0000 0.0000 0.0000
Bi2 Bi 0.5000 0.5000 0.0000
Rh3 Rh 0.8664 0.6336 0.0000
Pt3 Pt 0.1560 0.6560 0.5000
Rh4 Rh 0.3664 0.8664 0.0000
Pt4 Pt 0.8440 0.3440 0.5000
# polymorph energy (0 for the lowest one)	0	meV per atom
# size of the total moment	0.00	μB/f.u.
# VASP energy	-59.83	eV/cell

Entry 8:
# Bi5PtRh PBE relaxed
data_Bi5PtRh
_space_group_name_H-M_alt 'P 1'
_space_group_IT_number 1
_cell_length_a 7.2297
_cell_length_b 7.2297
_cell_length_c 11.9089
_cell_angle_alpha 54.20
_cell_angle_beta 54.20
_cell_angle_gamma 70.42
loop_
_space_group_symop_operation_xyz
'x,y,z'
loop_
_atom_site_label
_atom_site_type_symbol
_atom_site_fract_x
_atom_site_fract_y
_atom_site_fract_z
Pt1 Pt 0.0000 0.0000 0.0000
Pt2 Pt 0.0000 0.0000 0.5000
Bi1 Bi 0.5428 0.1144 0.5744
Bi2 Bi 0.0137 0.9863 0.2500
Bi3 Bi 0.4014 0.2094 0.8528
Rh1 Rh 0.6760 0.3240 0.2500
Bi4 Bi 0.1144 0.5428 0.0744
Rh2 Rh 0.3240 0.6760 0.7500
Bi5 Bi 0.5986 0.7906 0.1472
Bi6 Bi 0.7906 0.5986 0.6472
Bi7 Bi 0.9863 0.0137 0.7500
Bi8 Bi 0.8856 0.4572 0.9256
Bi9 Bi 0.4572 0.8856 0.4256
Bi10 Bi 0.2094 0.4014 0.3528
# size of the total moment	0.00	μB/f.u.
# VASP energy	-66.62	eV/cell

Entry 9:
# Bi6PtRh PBE relaxed
data_Bi6PtRh
_space_group_name_H-M_alt 'P 1'
_space_group_IT_number 1
_cell_length_a 6.8530
_cell_length_b 6.8395
_cell_length_c 6.8001
_cell_angle_alpha 59.48
_cell_angle_beta 59.57
_cell_angle_gamma 59.67
loop_
_space_group_symop_operation_xyz
'x,y,z'
loop_
_atom_site_label
_atom_site_type_symbol
_atom_site_fract_x
_atom_site_fract_y
_atom_site_fract_z
Bi1 Bi 0.2647 0.9490 0.2423
Rh1 Rh 0.5000 0.5000 0.5000
Bi2 Bi 0.0503 0.4594 0.7540
Bi3 Bi 0.5430 0.2628 0.2472
Bi4 Bi 0.4570 0.7372 0.7528
Bi5 Bi 0.9497 0.5406 0.2460
Bi6 Bi 0.7353 0.0510 0.7577
Pt1 Pt 0.0000 0.0000 0.0000
# polymorph energy (0 for the lowest one)	65	meV per atom
# size of the total moment	0.00	μB/f.u.
# VASP energy	-37.44	eV/cell

Entry 10:
# Bi3PtRh PBE relaxed
data_Bi3PtRh
_space_group_name_H-M_alt 'P 1'
_space_group_IT_number 1
_cell_length_a 5.2060
_cell_length_b 5.2060
_cell_length_c 5.2060
_cell_angle_alpha 90.00
_cell_angle_beta 90.00
_cell_angle_gamma 90.00
loop_
_space_group_symop_operation_xyz
'x,y,z'
loop_
_atom_site_label
_atom_site_type_symbol
_atom_site_fract_x
_atom_site_fract_y
_atom_site_fract_z
Rh1 Rh 0.0000 0.0000 0.0000
Bi1 Bi 0.0000 0.0000 0.5000
Bi2 Bi 0.0000 0.5000 0.0000
Bi3 Bi 0.5000 0.0000 0.0000
Pt1 Pt 0.5000 0.5000 0.5000
# polymorph energy (0 for the lowest one)	596	meV per atom
# size of the total moment	0.00	μB/f.u.
# VASP energy	-22.49	eV/cell

Entry 11:
# Bi2Pt2Rh PBE relaxed
data_Bi2Pt2Rh
_space_group_name_H-M_alt 'P 1'
_space_group_IT_number 1
_cell_length_a 7.3067
_cell_length_b 7.3067
_cell_length_c 3.8851
_cell_angle_alpha 90.00
_cell_angle_beta 90.00
_cell_angle_gamma 90.00
loop_
_space_group_symop_operation_xyz
'x,y,z'
loop_
_atom_site_label
_atom_site_type_symbol
_atom_site_fract_x
_atom_site_fract_y
_atom_site_fract_z
Bi1 Bi 0.8256 0.3256 0.5000
Rh1 Rh 0.5000 0.5000 0.0000
Pt1 Pt 0.6339 0.1339 0.0000
Bi2 Bi 0.3256 0.1744 0.5000
Bi3 Bi 0.1744 0.6744 0.5000
Pt2 Pt 0.1339 0.3661 0.0000
Bi4 Bi 0.6744 0.8256 0.5000
Rh2 Rh 0.0000 0.0000 0.0000
Pt3 Pt 0.3661 0.8661 0.0000
Pt4 Pt 0.8661 0.6339 0.0000
# size of the total moment	0.25	μB/f.u.
# VASP energy	-53.95	eV/cell

Entry 12:
# Bi6PtRh PBE relaxed
data_Bi6PtRh
_space_group_name_H-M_alt 'P 1'
_space_group_IT_number 1
_cell_length_a 8.5479
_cell_length_b 8.5479
_cell_length_c 8.5586
_cell_angle_alpha 109.46
_cell_angle_beta 109.50
_cell_angle_gamma 109.40
loop_
_space_group_symop_operation_xyz
'x,y,z'
loop_
_atom_site_label
_atom_site_type_symbol
_atom_site_fract_x
_atom_site_fract_y
_atom_site_fract_z
Pt1 Pt 0.0000 0.5000 0.0000
Bi1 Bi 0.4958 0.1609 0.3411
Bi2 Bi 0.6590 0.5045 0.8391
Bi3 Bi 0.8436 0.3444 0.1880
Bi4 Bi 0.1564 0.6556 0.8120
Pt2 Pt 0.5000 0.0000 0.0000
Bi5 Bi 0.1586 0.3312 0.4898
Bi6 Bi 0.6654 0.8199 0.1609
Bi7 Bi 0.3410 0.4955 0.1609
Rh1 Rh 0.5000 0.5000 0.5000
Rh2 Rh 0.0000 0.0000 0.5000
Bi8 Bi 0.1802 0.8453 0.3411
Bi9 Bi 0.8198 0.1547 0.6589
Bi10 Bi 0.8414 0.6688 0.5102
Bi11 Bi 0.5042 0.8391 0.6589
Bi12 Bi 0.3346 0.1801 0.8391
# polymorph energy (0 for the lowest one)	0	meV per atom
# size of the total moment	0.00	μB/f.u.
# VASP energy	-75.91	eV/cell

Copy entry 6 word for word.
# Bi3PtRh PBE relaxed
data_Bi3PtRh
_space_group_name_H-M_alt 'P 1'
_space_group_IT_number 1
_cell_length_a 3.6384
_cell_length_b 9.6313
_cell_length_c 7.6516
_cell_angle_alpha 72.76
_cell_angle_beta 89.16
_cell_angle_gamma 89.35
loop_
_space_group_symop_operation_xyz
'x,y,z'
loop_
_atom_site_label
_atom_site_type_symbol
_atom_site_fract_x
_atom_site_fract_y
_atom_site_fract_z
Bi1 Bi 0.4910 0.3245 0.8057
Pt1 Pt 0.9846 0.2663 0.1070
Bi2 Bi 0.4725 0.2903 0.3795
Rh1 Rh 0.4931 0.7668 0.0979
Bi3 Bi 0.4984 0.9214 0.7075
Bi4 Bi 0.9867 0.9830 0.0749
Pt2 Pt 0.4997 0.6382 0.6750
Bi5 Bi 0.0117 0.6139 0.4026
Rh2 Rh 0.9923 0.1375 0.6846
Bi6 Bi 0.9935 0.5800 0.9763
# polymorph energy (0 for the lowest one)	0	meV per atom
# size of the total moment	0.00	μB/f.u.
# VASP energy	-50.94	eV/cell